1.
A plane-wave DFT calculation with PBE was carried out for an optimized crystal structure of CsSr2LaBe.

Computed properties:
Total moment   0.0 μB per formula unit
Calculated formation energy   0.42 eV/atom
Crystal system   tetragonal

a = 6.3865 Å, b = 6.3865 Å, c = 5.7600 Å
α = 90.00°, β = 90.00°, γ = 90.00°
Last column: nearest neighbours and their distance in Å.
Element x y z (fractional)
1 Cs 0.0000 0.0000 0.0000  8 Sr 4.30, 4 La 4.52
2 Sr 0.0000 0.5000 0.5000  2 Be 3.19
3 Sr 0.5000 0.0000 0.5000  2 Be 3.19
4 La 0.5000 0.5000 0.0000  2 Be 2.88
5 Be 0.5000 0.5000 0.5000  2 La 2.88, 4 Sr 3.19

2.
A plane-wave DFT calculation with PBE was carried out for an optimized crystal structure of CsLaBeW2.

Computed properties:
Total moment   0.0 μB per formula unit
Calculated formation energy   3.28 eV/atom
Crystal system   tetragonal

a = 5.0109 Å, b = 5.0109 Å, c = 5.6526 Å
α = 90.00°, β = 90.00°, γ = 90.00°
Last column: nearest neighbours and their distance in Å.
Element x y z (fractional)
1 Cs 0.0000 0.0000 0.0000  4 W 2.51
2 La 0.0000 0.0000 0.5000  2 Cs 2.83
3 Be 0.5000 0.5000 0.5000  4 La 3.54, 8 W 3.78
4 W 0.0000 0.5000 0.0000  2 Cs 2.51
5 W 0.5000 0.0000 0.0000  2 Cs 2.51

3.
A plane-wave DFT calculation with PBE was carried out for an optimized crystal structure of CsLiBe2.

Computed properties:
Total moment   0.0 μB per formula unit
Polymorph energy (0 for the lowest one)   0.002 eV/atom
Calculated formation energy   0.29 eV/atom
Crystal system   triclinic

a = 4.3568 Å, b = 4.3572 Å, c = 14.1526 Å
α = 90.10°, β = 90.11°, γ = 119.99°
Last column: nearest neighbours and their distance in Å.
Element x y z (fractional)
1 Cs 0.0000 0.0000 0.0000  3 Li 3.85
2 Cs 0.3231 0.6579 0.3306  3 Li 3.84
3 Li 0.3302 0.6633 0.7942  3 Be 2.42
4 Li 0.6593 0.3264 0.5356  1 Be 2.21
5 Be 0.1590 0.3252 0.6484  6 Be 2.16-2.26
6 Be 0.1589 0.8292 0.6485  6 Be 2.16-2.26
7 Be 0.6608 0.3285 0.6918  1 Li 2.21, 6 Be 2.26
8 Be 0.6630 0.8292 0.6483  6 Be 2.16-2.26

4.
A plane-wave DFT calculation with PBE was carried out for an optimized crystal structure of CsLiBe2.

Computed properties:
Total moment   0.0 μB per formula unit
Polymorph energy (0 for the lowest one)   0.002 eV/atom
Calculated formation energy   0.29 eV/atom
Crystal system   triclinic

a = 4.3549 Å, b = 4.3571 Å, c = 14.3076 Å
α = 98.03°, β = 90.26°, γ = 119.97°
Last column: nearest neighbours and their distance in Å.
Element x y z (fractional)
1 Cs 0.0000 0.0000 0.0000  3 Li 3.84-3.85
2 Cs 0.2173 0.4155 0.6663  3 Li 3.80-3.81
3 Li 0.4857 0.9549 0.4644  1 Be 2.21
4 Li 0.7349 0.4623 0.2061  3 Be 2.42
5 Be 0.4346 0.8576 0.3080  1 Li 2.21, 6 Be 2.27
6 Be 0.4466 0.3838 0.3524  6 Be 2.16-2.27
7 Be 0.9503 0.3837 0.3523  6 Be 2.16-2.27
8 Be 0.9504 0.8876 0.3524  6 Be 2.16-2.27, 1 Li 2.42

5.
A plane-wave DFT calculation with PBE was carried out for an optimized crystal structure of CsLiBe2.

Computed properties:
Total moment   0.0 μB per formula unit
Polymorph energy (0 for the lowest one)   0.283 eV/atom
Calculated formation energy   0.57 eV/atom
Crystal system   triclinic

a = 4.1823 Å, b = 4.1841 Å, c = 6.8746 Å
α = 72.36°, β = 82.17°, γ = 60.04°
Last column: nearest neighbours and their distance in Å.
Element x y z (fractional)
1 Cs 0.0000 0.0000 0.0000  2 Li 3.38-3.78, 2 Be 3.70-3.76
2 Li 0.0144 0.7403 0.5166  6 Be 2.43-2.45
3 Be 0.3494 0.0994 0.4631  3 Be 2.40-2.44, 3 Li 2.43-2.45
4 Be 0.6757 0.4369 0.4619  3 Be 2.40-2.44, 3 Li 2.43-2.45

6.
A plane-wave DFT calculation with PBE was carried out for an optimized crystal structure of CsLiBe2.

Computed properties:
Total moment   0.0 μB per formula unit
Polymorph energy (0 for the lowest one)   1.022 eV/atom
Calculated formation energy   1.31 eV/atom
Crystal system   cubic

a = 5.4886 Å, b = 5.4886 Å, c = 5.4886 Å
α = 60.00°, β = 60.00°, γ = 60.00°
Last column: nearest neighbours and their distance in Å.
Element x y z (fractional)
1 Cs 0.0000 0.0000 0.0000  8 Be 3.36
2 Li 0.5000 0.5000 0.5000  8 Be 3.36
3 Be 0.2500 0.2500 0.2500  4 Li 3.36, 4 Cs 3.36
4 Be 0.7500 0.7500 0.7500  4 Cs 3.36, 4 Li 3.36

7.
A plane-wave DFT calculation with PBE was carried out for an optimized crystal structure of CsLiBe2.

Computed properties:
Total moment   0.0 μB per formula unit
Polymorph energy (0 for the lowest one)   0.039 eV/atom
Calculated formation energy   0.33 eV/atom
Crystal system   triclinic

a = 3.8917 Å, b = 5.8591 Å, c = 11.8238 Å
α = 102.19°, β = 92.51°, γ = 108.67°
Last column: nearest neighbours and their distance in Å.
Element x y z (fractional)
1 Cs 0.1366 0.1430 0.2934  4 Be 3.53-3.91, 2 Li 3.65-3.67, 2 Cs 3.89
2 Cs 0.8634 0.8570 0.7066  4 Be 3.53-3.91, 2 Li 3.65-3.67, 2 Cs 3.89
3 Li 0.4619 0.4481 0.8948  1 Li 2.41, 6 Be 2.54-2.60
4 Li 0.5381 0.5519 0.1052  1 Li 2.41, 6 Be 2.54-2.60
5 Be 0.1035 0.7045 0.0000  4 Be 2.12-2.27
6 Be 0.2942 0.0851 0.9988  5 Be 2.12-2.27
7 Be 0.7058 0.9149 0.0012  5 Be 2.12-2.27
8 Be 0.8965 0.2955 0.0000  4 Be 2.12-2.27

8.
A plane-wave DFT calculation with PBE was carried out for an optimized crystal structure of Cs2LiBe.

Computed properties:
Total moment   0.0 μB per formula unit
Polymorph energy (0 for the lowest one)   0.151 eV/atom
Calculated formation energy   0.76 eV/atom
Crystal system   cubic

a = 6.5997 Å, b = 6.5997 Å, c = 6.5997 Å
α = 60.00°, β = 60.00°, γ = 60.00°
Last column: nearest neighbours and their distance in Å.
Element x y z (fractional)
1 Cs 0.2500 0.2500 0.2500  4 Li 4.04, 4 Be 4.04
2 Cs 0.7500 0.7500 0.7500  4 Li 4.04, 4 Be 4.04
3 Li 0.0000 0.0000 0.0000  8 Cs 4.04
4 Be 0.5000 0.5000 0.5000  8 Cs 4.04

9.
A plane-wave DFT calculation with PBE was carried out for an optimized crystal structure of Cs2LiBe.

Computed properties:
Total moment   0.0 μB per formula unit
Polymorph energy (0 for the lowest one)   0.000 eV/atom
Calculated formation energy   0.61 eV/atom
Crystal system   tetragonal

a = 10.0982 Å, b = 10.0982 Å, c = 10.0982 Å
α = 93.73°, β = 93.73°, γ = 150.45°
Last column: nearest neighbours and their distance in Å.
Element x y z (fractional)
1 Cs 0.3750 0.1920 0.3170  2 Be 3.63, 2 Li 4.06
2 Cs 0.8080 0.1250 0.1830  2 Be 3.63, 2 Li 4.06
3 Cs 0.8750 0.0580 0.6830  2 Be 3.63, 2 Li 4.06
4 Cs 0.9420 0.6250 0.8170  2 Be 3.63, 2 Li 4.06
5 Li 0.2500 0.7500 0.5000  2 Be 2.57
6 Li 0.5000 0.5000 0.0000  2 Be 2.57
7 Be 0.0000 0.0000 0.0000  2 Li 2.57
8 Be 0.7500 0.2500 0.5000  2 Li 2.57

10.
A plane-wave DFT calculation with PBE was carried out for an optimized crystal structure of CsLiBe3.

Computed properties:
Total moment   0.0 μB per formula unit
Polymorph energy (0 for the lowest one)   0.000 eV/atom
Calculated formation energy   1.29 eV/atom
Crystal system   cubic

a = 4.8100 Å, b = 4.8100 Å, c = 4.8100 Å
α = 90.00°, β = 90.00°, γ = 90.00°
Last column: nearest neighbours and their distance in Å.
Element x y z (fractional)
1 Cs 0.0000 0.0000 0.0000  12 Be 3.40
2 Li 0.5000 0.5000 0.5000  6 Be 2.41
3 Be 0.0000 0.5000 0.5000  2 Li 2.41
4 Be 0.5000 0.0000 0.5000  2 Li 2.41
5 Be 0.5000 0.5000 0.0000  2 Li 2.41

11.
A plane-wave DFT calculation with PBE was carried out for an optimized crystal structure of Cs2LiBe2.

Computed properties:
Total moment   0.0 μB per formula unit
Polymorph energy (0 for the lowest one)   0.204 eV/atom
Calculated formation energy   1.02 eV/atom
Crystal system   tetragonal

a = 10.4341 Å, b = 10.4341 Å, c = 3.7578 Å
α = 90.00°, β = 90.00°, γ = 90.00°
Last column: nearest neighbours and their distance in Å.
Element x y z (fractional)
1 Cs 0.1993 0.3007 0.0000  6 Be 3.66-3.84, 2 Cs 3.76, 2 Li 3.76
2 Cs 0.3007 0.8007 0.0000  6 Be 3.66-3.84, 2 Cs 3.76, 2 Li 3.76
3 Cs 0.6993 0.1993 0.0000  6 Be 3.66-3.84, 2 Cs 3.76, 2 Li 3.76
4 Cs 0.8007 0.6993 0.0000  6 Be 3.66-3.84, 2 Cs 3.76, 2 Li 3.76
5 Li 0.0000 0.0000 0.0000  2 Li 3.76, 4 Cs 3.76
6 Li 0.5000 0.5000 0.0000  2 Li 3.76, 4 Cs 3.76
7 Be 0.0736 0.5736 0.5000  1 Be 2.17
8 Be 0.4264 0.0736 0.5000  1 Be 2.17
9 Be 0.5736 0.9264 0.5000  1 Be 2.17
10 Be 0.9264 0.4264 0.5000  1 Be 2.17

12.
A plane-wave DFT calculation with PBE was carried out for an optimized crystal structure of CsLiBe2.

Computed properties:
Total moment   0.2 μB per formula unit
Polymorph energy (0 for the lowest one)   0.023 eV/atom
Calculated formation energy   0.31 eV/atom
Crystal system   triclinic

a = 3.8804 Å, b = 4.2998 Å, c = 13.4884 Å
α = 87.01°, β = 84.62°, γ = 64.34°
Last column: nearest neighbours and their distance in Å.
Element x y z (fractional)
1 Cs 0.0000 0.0000 0.0000  2 Li 3.48-3.53, 1 Be 3.88, 2 Cs 3.88
2 Cs 0.2714 0.9706 0.6431  2 Li 3.50-3.52, 2 Cs 3.88, 2 Be 3.89-3.90
3 Li 0.4169 0.4895 0.2041  6 Be 2.41-2.49
4 Li 0.8443 0.4814 0.4388  6 Be 2.41-2.49
5 Be 0.0459 0.1941 0.2746  1 Be 2.03
6 Be 0.2148 0.7777 0.3683  1 Be 2.03
7 Be 0.5177 0.1887 0.3687  1 Be 2.03
8 Be 0.7432 0.7827 0.2742  1 Be 2.03

13.
A plane-wave DFT calculation with PBE was carried out for an optimized crystal structure of CsLiBe2.

Computed properties:
Total moment   0.3 μB per formula unit
Polymorph energy (0 for the lowest one)   0.000 eV/atom
Calculated formation energy   0.29 eV/atom
Crystal system   monoclinic

a = 4.3272 Å, b = 4.3272 Å, c = 14.7945 Å
α = 98.86°, β = 98.86°, γ = 60.07°
Last column: nearest neighbours and their distance in Å.
Element x y z (fractional)
1 Cs 0.0000 0.0000 0.0000  3 Li 3.99-4.00, 6 Cs 4.33
2 Cs 0.2395 0.2395 0.6808  3 Li 3.92, 6 Cs 4.33
3 Li 0.4102 0.4102 0.2143  3 Be 2.46-2.47
4 Li 0.8334 0.8334 0.4731  1 Be 2.24
5 Be 0.2918 0.2918 0.3595  6 Be 2.15-2.24
6 Be 0.2920 0.7949 0.3600  6 Be 2.15-2.24
7 Be 0.7787 0.7787 0.3194  1 Li 2.24, 6 Be 2.24
8 Be 0.7949 0.2920 0.3600  6 Be 2.15-2.24

Short version: Fermi-level density of states = 1.778; 1.559; 0.576; 0.561; 0.838; 0.842; 0.504; 1.154; 1.344; 0.147; 1.598; 0.460; 0.522 states/eV/atom, in the order given.